Material: ScSnTe2AuSe
Method: DFT, PBE-GGA
State: relaxed

Summary:
Its total magnetic moment is 0.0 μB/f.u. As for the symmetry: Cmcm, No. 63. For the final energy, the calculation gives -4.500 eV/atom.

The structure in extended XYZ format:
```
12
Lattice="-1.153 0.455 7.458 -2.156 -2.834 -6.669 6.150 -8.075 1.443" Properties=species:S:1:pos:R:3 pbc="T T T"
Se 2.542 -8.607 -4.372
Au 2.932 -7.330 1.113
Sc 3.075 -4.037 0.721
Te 1.285 -4.370 3.132
Sn 3.211 -6.417 5.036
Sc 0.000 0.000 0.000
Sn -0.370 -4.037 -2.804
Se 0.299 -1.847 6.604
Te 4.064 -9.377 -0.311
Te 1.556 -6.083 -0.900
Au -0.091 -3.124 1.119
Te -1.223 -1.077 2.543
```

***

Material: Gd2YSn3Pb4
Method: DFT, PBE-GGA
State: relaxed

Summary:
Its total magnetic moment is 0.0 μB/f.u. As for the symmetry: Cmmm, No. 65. Its energy above the most stable polymorph in this dataset is 18 meV per atom. For the final energy, the calculation gives -4.689 eV/atom.

The structure in extended XYZ format:
```
10
Lattice="2.233 -13.398 0.000 2.233 13.398 0.000 0.000 0.000 4.581" Properties=species:S:1:pos:R:3 pbc="T T T"
Sn 2.233 -2.541 0.000
Pb 2.233 10.816 2.290
Pb 2.233 5.598 2.290
Gd 2.233 -8.328 0.000
Pb 2.233 -10.816 2.290
Sn 2.233 2.541 0.000
Y 2.233 0.000 2.290
Sn 0.000 0.000 0.000
Pb 2.233 -5.598 2.290
Gd 2.233 8.328 0.000
```

***

Material: Li2MgGaAg2Au2
Method: DFT, PBE-GGA
State: relaxed

Summary:
As for the symmetry: P-4m2, No. 115. For the final energy, the calculation gives -2.968 eV/atom.

The structure in extended XYZ format:
```
8
Lattice="4.536 0.000 0.000 0.000 4.536 0.000 0.000 0.000 6.397" Properties=species:S:1:pos:R:3 pbc="T T T"
Ga 0.000 0.000 0.000
Li 2.268 2.268 0.000
Au 0.000 2.268 4.821
Li 0.000 0.000 3.199
Au 2.268 0.000 1.576
Mg 2.268 2.268 3.199
Ag 2.268 0.000 4.833
Ag 0.000 2.268 1.564
```

***

Material: Gd2Lu3Ga3
Method: DFT, PBE-GGA
State: relaxed

Summary:
Its total magnetic moment is 0.0 μB/f.u. As for the symmetry: P-6m2, No. 187. Its energy above the most stable polymorph in this dataset is 113 meV per atom. For the final energy, the calculation gives -4.274 eV/atom.

The structure in extended XYZ format:
```
8
Lattice="-6.668 1.193 -1.158 3.854 -2.962 -4.857 -1.099 -4.391 1.805" Properties=species:S:1:pos:R:3 pbc="T T T"
Ga -5.697 -1.602 -0.790
Lu -1.333 -1.678 -4.895
Lu 2.211 -2.313 -4.280
Gd -3.160 -0.192 -2.391
Lu 0.163 -0.739 -1.698
Gd -0.203 -3.772 -2.722
Ga -1.919 -2.278 -0.134
Ga -3.513 -3.280 -3.542
```

***

Material: BeCdNiGe
Method: DFT, PBE-GGA
State: relaxed

Summary:
Its total magnetic moment is 0.0 μB/f.u. As for the symmetry: F-43m, No. 216. Its energy above the most stable polymorph in this dataset is 0 meV per atom. For the final energy, the calculation gives -3.413 eV/atom.

The structure in extended XYZ format:
```
4
Lattice="0.000 3.066 3.066 3.066 0.000 3.066 3.066 3.066 0.000" Properties=species:S:1:pos:R:3 pbc="T T T"
Ni 4.599 4.599 4.599
Be 1.533 1.533 1.533
Cd 3.066 3.066 3.066
Ge 0.000 0.000 0.000
```

***

Material: LaPrNi2Ge4
Method: DFT, PBE-GGA
State: relaxed

Summary:
Its total magnetic moment is 0.0 μB/f.u. As for the symmetry: Pm, No. 6. For the final energy, the calculation gives -5.679 eV/atom.

The structure in extended XYZ format:
```
8
Lattice="-3.048 2.171 -2.121 0.983 -2.103 -3.566 -4.103 -7.062 3.033" Properties=species:S:1:pos:R:3 pbc="T T T"
Ni -3.590 -3.790 1.245
Ge -4.354 -1.895 -0.083
Ni -3.072 -2.154 -2.116
La -1.236 -1.292 0.421
Pr -5.424 -4.651 -1.292
Ge -1.536 -0.454 -2.695
Ge -5.109 -5.476 1.820
Ge -2.317 -4.059 -0.784
```